A relaxed TcMo3 crystal. Source: Alexandria, functional PBEsol.

```
TcMo3
1.0
4.382 2.530 0.901
-4.382 2.530 0.901
0.000 -5.060 0.901
Tc Mo
1 3
Direct
0.000 0.000 0.000
0.000 0.500 0.500
0.500 0.000 0.500
0.500 0.500 0.000
```

calculated formation energy: 52 meV/atom
ρ: 10.69 Mg/m³
density of states at the Fermi level: 3.50 states/eV per cell